# 1
An optimized crystal structure of Cd2Au2Cl. Source: the Alexandria database, functional GGA-PBE.

CIF file:
```
data_Cd2Au2Cl
_chemical_formula_sum 'Cd4 Au4 Cl2'
_space_group_name_H-M_alt 'I 4/m m m'
_space_group_IT_number 139
_space_group_name_Hall '-I 4 2'
_cell_length_a 4.552
_cell_length_b 4.552
_cell_length_c 11.829
_cell_angle_alpha 90.00
_cell_angle_beta 90.00
_cell_angle_gamma 90.00
loop_
_atom_site_label
_atom_site_fract_x
_atom_site_fract_y
_atom_site_fract_z
Cd1 0.000 0.500 0.250
Au1 0.000 0.000 0.114
Cl1 0.000 0.000 0.500
```

Calculated values
VASP energy = -10.494 eV/f.u.
Formation energy from raw total energies = -0.05 eV/atom
Crystal system = tetragonal
Offset from the most stable computed form = 0.1576 eV per atom
Calculated volume = 245.11 Å³ per cell
Total magnetization = 0.0 μB/cell

# 2
An optimized crystal structure of Pa6GeSb. Source: the Alexandria database, functional GGA-PBE.

CIF file:
```
data_Pa6GeSb
_chemical_formula_sum 'Pa6 Ge1 Sb1'
_space_group_name_H-M_alt 'P 4/m m m'
_space_group_IT_number 123
_space_group_name_Hall '-P 4 2'
_cell_length_a 4.562
_cell_length_b 4.562
_cell_length_c 9.044
_cell_angle_alpha 90.00
_cell_angle_beta 90.00
_cell_angle_gamma 90.00
loop_
_atom_site_label
_atom_site_fract_x
_atom_site_fract_y
_atom_site_fract_z
Pa1 0.000 0.000 0.000
Pa2 0.000 0.000 0.500
Pa3 0.000 0.500 0.241
Ge1 0.500 0.500 0.000
Sb1 0.500 0.500 0.500
```

Calculated values
VASP energy = -68.273 eV/f.u.
Formation energy from raw total energies = -0.32 eV/atom
Crystal system = tetragonal
Calculated volume = 188.23 Å³ per cell
Total magnetization = 0.0 μB/cell

# 3
An optimized crystal structure of LiTa2Re. Source: the Alexandria database, functional GGA-PBE.

CIF file:
```
data_LiTa2Re
_chemical_formula_sum 'Li4 Ta8 Re4'
_space_group_name_H-M_alt 'I -4 2 d'
_space_group_IT_number 122
_space_group_name_Hall 'I -4 2bw'
_cell_length_a 7.116
_cell_length_b 7.116
_cell_length_c 5.513
_cell_angle_alpha 90.00
_cell_angle_beta 90.00
_cell_angle_gamma 90.00
loop_
_atom_site_label
_atom_site_fract_x
_atom_site_fract_y
_atom_site_fract_z
Li1 0.000 0.000 0.000
Ta1 0.240 0.250 0.625
Re1 0.000 0.000 0.500
```

Calculated values
VASP energy = -35.224 eV/f.u.
Crystal system = tetragonal
Calculated volume = 279.20 Å³ per cell
Total magnetization = 0.0 μB/cell
Calculated formation energy = 0.71 eV per atom

# 4
An optimized crystal structure of Mg3PN. Source: the Alexandria database, functional GGA-PBE.

CIF file:
```
data_Mg3PN
_chemical_formula_sum 'Mg12 P4 N4'
_space_group_name_H-M_alt 'P 1 21/c 1'
_space_group_IT_number 14
_cell_length_a 7.887
_cell_length_b 5.627
_cell_length_c 7.899
_cell_angle_alpha 90.00
_cell_angle_beta 110.62
_cell_angle_gamma 90.00
loop_
_space_group_symop_operation_xyz
'x,y,z'
'-x,-y,-z'
'-x,y+1/2,-z+1/2'
'x,-y+1/2,z+1/2'
loop_
_atom_site_label
_atom_site_fract_x
_atom_site_fract_y
_atom_site_fract_z
Mg1 0.047 0.065 0.191
Mg2 0.185 0.576 0.072
Mg3 0.345 0.085 0.053
P1 0.345 0.713 0.854
N1 0.085 0.247 0.965
```

Calculated values
VASP energy = -21.234 eV/f.u.
Formation energy from raw total energies = -0.54 eV/atom
Crystal system = monoclinic
Offset from the most stable computed form = 0.1948 eV per atom
Calculated volume = 328.06 Å³ per cell
Total magnetization = 0.0 μB/cell

# 5
An optimized crystal structure of InAuO3. Source: the Alexandria database, functional GGA-PBE.

CIF file:
```
data_InAuO3
_chemical_formula_sum 'In4 Au4 O12'
_space_group_name_H-M_alt 'P 1 21/c 1'
_space_group_IT_number 14
_cell_length_a 6.329
_cell_length_b 3.468
_cell_length_c 12.750
_cell_angle_alpha 90.00
_cell_angle_beta 103.42
_cell_angle_gamma 90.00
loop_
_space_group_symop_operation_xyz
'x,y,z'
'-x,-y,-z'
'-x,y+1/2,-z+1/2'
'x,-y+1/2,z+1/2'
loop_
_atom_site_label
_atom_site_fract_x
_atom_site_fract_y
_atom_site_fract_z
In1 0.239 0.169 0.207
Au1 0.323 0.698 0.450
O1 0.068 0.517 0.841
O2 0.243 0.719 0.090
O3 0.406 0.642 0.308
```

Calculated values
VASP energy = -23.649 eV/f.u.
Formation energy from raw total energies = -0.55 eV/atom
Crystal system = monoclinic
Calculated volume = 272.24 Å³ per cell
Total magnetization = 3.7 μB/cell

# 6
An optimized crystal structure of CaPr2Os. Source: the Alexandria database, functional GGA-PBE.

CIF file:
```
data_CaPr2Os
_chemical_formula_sum 'Ca1 Pr2 Os1'
_space_group_name_H-M_alt 'P 4/m m m'
_space_group_IT_number 123
_space_group_name_Hall '-P 4 2'
_cell_length_a 3.538
_cell_length_b 3.538
_cell_length_c 10.144
_cell_angle_alpha 90.00
_cell_angle_beta 90.00
_cell_angle_gamma 90.00
loop_
_atom_site_label
_atom_site_fract_x
_atom_site_fract_y
_atom_site_fract_z
Ca1 0.000 0.000 0.000
Pr1 0.500 0.500 0.330
Os1 0.000 0.000 0.500
```

Calculated values
VASP energy = -22.631 eV/f.u.
Crystal system = tetragonal
Offset from the most stable computed form = 0.0497 eV per atom
Calculated volume = 127.01 Å³ per cell
Total magnetization = 0.0 μB/cell
Calculated formation energy = 0.04 eV per atom

# 7
An optimized crystal structure of KSiSb2. Source: the Alexandria database, functional GGA-PBE.

CIF file:
```
data_KSiSb2
_chemical_formula_sum 'K2 Si2 Sb4'
_space_group_name_H-M_alt 'C 1 m 1'
_space_group_IT_number 8
_cell_length_a 11.374
_cell_length_b 3.720
_cell_length_c 6.406
_cell_angle_alpha 90.00
_cell_angle_beta 106.81
_cell_angle_gamma 90.00
loop_
_space_group_symop_operation_xyz
'x,y,z'
'x,-y,z'
'x+1/2,y+1/2,z'
'x+1/2,-y+1/2,z'
loop_
_atom_site_label
_atom_site_fract_x
_atom_site_fract_y
_atom_site_fract_z
K1 0.000 0.000 0.000
Si1 0.255 0.500 0.316
Sb1 0.232 0.000 0.621
Sb2 0.447 0.000 0.470
```

Calculated values
VASP energy = -14.665 eV/f.u.
Formation energy from raw total energies = 0.02 eV/atom
Crystal system = monoclinic
Calculated volume = 259.45 Å³ per cell
Total magnetization = 0.0 μB/cell

# 8
An optimized crystal structure of AlTe2AsI. Source: the Alexandria database, functional GGA-PBE.

CIF file:
```
data_AlTe2AsI
_chemical_formula_sum 'Al1 Te2 As1 I1'
_space_group_name_H-M_alt 'P 4/m m m'
_space_group_IT_number 123
_space_group_name_Hall '-P 4 2'
_cell_length_a 5.391
_cell_length_b 5.391
_cell_length_c 5.256
_cell_angle_alpha 90.00
_cell_angle_beta 90.00
_cell_angle_gamma 90.00
loop_
_atom_site_label
_atom_site_fract_x
_atom_site_fract_y
_atom_site_fract_z
Al1 0.000 0.000 0.000
Te1 0.000 0.500 0.000
As1 0.500 0.500 0.500
I1 0.000 0.000 0.500
```

Calculated values
VASP energy = -13.778 eV/f.u.
Formation energy from raw total energies = 0.49 eV/atom
Crystal system = tetragonal
Offset from the most stable computed form = 0.0561 eV per atom
Calculated volume = 152.76 Å³ per cell
Total magnetization = 0.0 μB/cell

# 9
An optimized crystal structure of Sn2PdAu2. Source: the Alexandria database, functional GGA-PBE.

CIF file:
```
data_Sn2PdAu2
_chemical_formula_sum 'Sn4 Pd2 Au4'
_space_group_name_H-M_alt 'P 4/m b m'
_space_group_IT_number 127
_space_group_name_Hall '-P 4 2ab'
_cell_length_a 7.303
_cell_length_b 7.303
_cell_length_c 4.018
_cell_angle_alpha 90.00
_cell_angle_beta 90.00
_cell_angle_gamma 90.00
loop_
_atom_site_label
_atom_site_fract_x
_atom_site_fract_y
_atom_site_fract_z
Sn1 0.165 0.335 0.000
Pd1 0.000 0.000 0.000
Au1 0.141 0.641 0.500
```

Calculated values
VASP energy = -20.123 eV/f.u.
Crystal system = tetragonal
Offset from the most stable computed form = 0.1549 eV per atom
Calculated volume = 214.31 Å³ per cell
Total magnetization = 0.0 μB/cell
Calculated formation energy = -0.07 eV per atom

# 10
An optimized crystal structure of YTlHg3. Source: the Alexandria database, functional GGA-PBE.

CIF file:
```
data_YTlHg3
_chemical_formula_sum 'Y1 Tl1 Hg3'
_space_group_name_H-M_alt 'P m -3 m'
_space_group_IT_number 221
_space_group_name_Hall '-P 4 2 3'
_cell_length_a 5.877
_cell_length_b 5.877
_cell_length_c 5.877
_cell_angle_alpha 90.00
_cell_angle_beta 90.00
_cell_angle_gamma 90.00
loop_
_atom_site_label
_atom_site_fract_x
_atom_site_fract_y
_atom_site_fract_z
Y1 0.000 0.000 0.000
Tl1 0.500 0.500 0.500
Hg1 0.000 0.000 0.500
```

Calculated values
VASP energy = -8.304 eV/f.u.
Crystal system = cubic
Offset from the most stable computed form = 0.4772 eV per atom
Calculated volume = 203.03 Å³ per cell
Total magnetization = 0.0 μB/cell
Calculated formation energy = 0.29 eV per atom

# 11
An optimized crystal structure of Nd6Te2P3. Source: the Alexandria database, functional GGA-PBE.

CIF file:
```
data_Nd6Te2P3
_chemical_formula_sum 'Nd12 Te4 P6'
_space_group_name_H-M_alt 'C 1 2/m 1'
_space_group_IT_number 12
_cell_length_a 7.286
_cell_length_b 12.604
_cell_length_c 7.713
_cell_angle_alpha 90.00
_cell_angle_beta 108.45
_cell_angle_gamma 90.00
loop_
_space_group_symop_operation_xyz
'x,y,z'
'-x,-y,-z'
'-x,y,-z'
'x,-y,z'
'x+1/2,y+1/2,z'
'-x+1/2,-y+1/2,-z'
'-x+1/2,y+1/2,-z'
'x+1/2,-y+1/2,z'
loop_
_atom_site_label
_atom_site_fract_x
_atom_site_fract_y
_atom_site_fract_z
Nd1 0.236 0.169 0.214
Nd2 0.241 0.500 0.209
Te1 0.000 0.166 0.500
P1 0.000 0.000 0.000
P2 0.000 0.331 0.000
```

Calculated values
VASP energy = -66.518 eV/f.u.
Formation energy from raw total energies = -1.40 eV/atom
Crystal system = monoclinic
Calculated volume = 671.83 Å³ per cell
Total magnetization = 1.1 μB/cell